--- P ---
## In2Ga2Sb (PBE)

Data for a geometry-optimized In2Ga2Sb structure.

Structure (extended XYZ):
```
10
Lattice="-2.806 -8.321 -0.484 5.239 -1.364 -6.931 2.338 -0.902 1.945" Properties=species:S:1:pos:R:3 pbc="T T T"
In 3.399 -3.784 -5.840
In 1.173 -1.933 -2.306
In -0.966 -5.901 -1.575
Ga 4.078 -6.777 -5.457
Sb 1.216 -4.843 -3.707
Ga 0.693 -3.810 -0.012
Sb 0.000 0.000 0.000
Ga 4.069 -2.249 -3.347
Ga 0.702 -8.338 -2.122
In 1.259 -7.753 -5.108
```

The value obtained for the density of states at the Fermi level is 0.42 states/eV/atom.

=====

--- Q ---
## In2Ga2Sb (PBE)

Data for a geometry-optimized In2Ga2Sb structure.

Structure (extended XYZ):
```
10
Lattice="7.480 0.000 0.000 0.000 7.480 0.000 0.000 0.000 4.485" Properties=species:S:1:pos:R:3 pbc="T T T"
In 2.401 1.339 2.243
Ga 4.684 0.944 0.000
Sb 0.000 0.000 0.000
In 1.339 5.079 2.243
In 6.141 2.401 2.243
Ga 0.944 2.796 0.000
Sb 3.740 3.740 0.000
Ga 6.535 4.684 0.000
In 5.079 6.141 2.243
Ga 2.796 6.535 0.000
```

The value obtained for the density of states at the Fermi level is 0.46 states/eV/atom.

=====

Q is favored, and the nearest alternative lies 0.019 eV/atom above it.

=====

--- P ---
## In2Ga2Sb (PBE)

Data for a geometry-optimized In2Ga2Sb structure.

Structure (extended XYZ):
```
5
Lattice="3.883 0.000 0.000 0.000 3.883 0.000 1.942 1.942 8.318" Properties=species:S:1:pos:R:3 pbc="T T T"
In 1.942 1.942 1.680
Sb 0.000 0.000 0.000
Ga 3.883 1.942 4.159
Ga 1.942 3.883 4.159
In 3.883 3.883 6.638
```

The value obtained for the density of states at the Fermi level is 0.47 states/eV/atom.

=====

--- Q ---
## In2Ga2Sb (PBE)

Data for a geometry-optimized In2Ga2Sb structure.

Structure (extended XYZ):
```
5
Lattice="-0.424 3.142 3.386 -0.776 -3.400 3.059 5.174 -0.493 4.282" Properties=species:S:1:pos:R:3 pbc="T T T"
Ga 3.386 -0.546 7.286
Ga 0.589 -0.204 3.440
In 1.899 -2.011 5.282
In 2.075 1.261 5.445
Sb 0.000 0.000 0.000
```

The value obtained for the density of states at the Fermi level is 0.44 states/eV/atom.

=====

P is favored, and the nearest alternative lies 0.078 eV/atom above it.

=====

--- P ---
## InGaSb (PBE)

Data for a geometry-optimized InGaSb structure.

Structure (extended XYZ):
```
3
Lattice="-0.414 -4.512 -1.939 3.853 -3.073 0.063 -0.049 -3.953 2.944" Properties=species:S:1:pos:R:3 pbc="T T T"
Sb 0.000 0.000 0.000
Ga 0.847 -2.884 0.267
In 1.695 -5.769 0.534
```

The value obtained for the density of states at the Fermi level is 1.31 states/eV/atom.

=====

--- Q ---
## InGaSb (PBE)

Data for a geometry-optimized InGaSb structure.

Structure (extended XYZ):
```
6
Lattice="4.322 -0.090 0.026 1.866 6.036 -0.028 1.970 -0.510 5.865" Properties=species:S:1:pos:R:3 pbc="T T T"
Ga 5.785 1.419 3.700
Ga 2.326 3.422 1.753
In 4.386 1.414 1.007
In 6.017 5.323 5.154
Sb 4.516 5.132 2.425
Sb 3.636 3.053 4.760
```

The value obtained for the density of states at the Fermi level is 0.42 states/eV/atom.

=====

--- R ---
## InGaSb (PBE)

Data for a geometry-optimized InGaSb structure.

Structure (extended XYZ):
```
3
Lattice="3.320 0.037 -0.004 -1.613 3.877 0.036 -0.027 -1.313 5.919" Properties=species:S:1:pos:R:3 pbc="T T T"
Ga 1.558 3.831 0.249
In 1.510 0.370 4.190
Sb -0.115 2.117 1.997
```

The value obtained for the density of states at the Fermi level is 0.37 states/eV/atom.

=====

--- S ---
## InGaSb (PBE)

Data for a geometry-optimized InGaSb structure.

Structure (extended XYZ):
```
3
Lattice="-2.698 2.195 0.664 -0.772 -1.834 2.929 5.415 3.376 1.400" Properties=species:S:1:pos:R:3 pbc="T T T"
Ga 2.385 2.305 2.071
Sb -0.398 1.473 2.958
In 1.903 3.697 4.957
```

The value obtained for the density of states at the Fermi level is 0.29 states/eV/atom.

=====

R is favored, and the nearest alternative lies 0.005 eV/atom above it.